Density functional theory data (PBE+U) for crystalline Fe2SO at its relaxed geometry.

Cell lengths 5.1253, 5.1253, 10.3448 Å; angles 90.00, 90.00, 90.00 degrees
Closest atoms and distances in Å follow each position.
Space group I-42d (No. 122)
One atom of each set of equivalent atoms:
Fe 0.1854 0.2500 0.1250 x8  2 O 2.05
S 0.0000 0.0000 0.5000 x4  4 Fe 2.43
O 0.0000 0.0000 0.0000 x4  4 Fe 2.05

- electronic total energy (eV/atom) = -5.981
- crystal system = tetragonal
- D(E_F) (states/eV/f.u.) = 0.0
- magnetic moment (μB per formula unit) = 8.0
- theoretical density (g/cm3) = 3.90